P.
{
  "formula": "BaBeHg",
  "functional": "PBE",
  "state": "relaxed",
  "dos_ef_per_ev_atom": 0.521,
  "space_group": "Fmm2",
  "volume_a3_per_cell": 78,
  "cell": [[6.541, 0.023, -0.024], [5.535, 3.481, 0.011], [1.006, 0.249, 3.450]],
  "species": ["Be", "Hg", "Ba"],
  "fractional_positions": [[0.286, 0.286, 0.714], [0.717, 0.717, 0.283], [0.997, 0.997, 0.003]]
}

=====

Q.
{
  "formula": "BaBeHg",
  "functional": "PBE",
  "state": "relaxed",
  "dos_ef_per_ev_atom": 1.278,
  "space_group": "F-43m",
  "volume_a3_per_cell": 91,
  "cell": [[-1.071, -0.648, 4.898], [2.588, -3.379, 2.727], [3.263, 1.566, 3.529]],
  "species": ["Be", "Hg", "Ba"],
  "fractional_positions": [[0.750, 0.750, 0.750], [0.000, 0.000, 0.000], [0.500, 0.500, 0.500]]
}

=====

R.
{
  "formula": "BaBeHg",
  "functional": "PBE",
  "state": "relaxed",
  "dos_ef_per_ev_atom": 1.185,
  "space_group": "F-43m",
  "volume_a3_per_cell": 112,
  "cell": [[-0.044, -4.719, -2.650], [-1.746, -4.481, 2.483], [-4.706, -2.242, -1.457]],
  "species": ["Be", "Hg", "Ba"],
  "fractional_positions": [[0.000, 0.000, 0.000], [0.500, 0.500, 0.500], [0.750, 0.750, 0.750]]
}

=====

S.
{
  "formula": "BaBeHg",
  "functional": "PBE",
  "state": "relaxed",
  "dos_ef_per_ev_atom": 1.324,
  "space_group": "F-43m",
  "volume_a3_per_cell": 101,
  "cell": [[5.228, 0.000, 0.000], [2.614, 4.528, 0.000], [2.614, 1.509, 4.269]],
  "species": ["Be", "Hg", "Ba"],
  "fractional_positions": [[0.500, 0.500, 0.500], [0.750, 0.750, 0.750], [0.000, 0.000, 0.000]]
}

=====

What should be chosen as the least stable of them? Choose R.

=====

P.
{
  "formula": "Ba2BeHg",
  "functional": "PBE",
  "state": "relaxed",
  "dos_ef_per_ev_atom": 0.753,
  "space_group": "Cmmm",
  "volume_a3_per_cell": 139,
  "cell": [[-7.015, -1.697, 5.664], [5.631, 0.741, 1.249], [-0.977, 2.976, 2.647]],
  "species": ["Be", "Hg", "Ba", "Ba"],
  "fractional_positions": [[0.000, 0.500, 0.500], [0.500, 0.500, 0.000], [0.000, 0.000, 0.000], [0.500, 0.000, 0.500]]
}

=====

Q.
{
  "formula": "Ba2BeHg",
  "functional": "PBE",
  "state": "relaxed",
  "dos_ef_per_ev_atom": 1.068,
  "space_group": "C2/m",
  "volume_a3_per_cell": 164,
  "cell": [[4.999, -0.033, 0.004], [3.037, 3.971, 0.004], [1.904, 0.933, 8.210]],
  "species": ["Be", "Hg", "Ba", "Ba"],
  "fractional_positions": [[0.750, 0.750, 0.750], [0.250, 0.250, 0.250], [0.008, 0.008, 0.974], [0.492, 0.492, 0.526]]
}

=====

What should be chosen as the least stable of them? Choose Q.